Record 1
Material: Ac3SiGe
Method: DFT, PBE-GGA
State: relaxed

The structure in POSCAR format:
```
Ac3SiGe
1.0
4.6855 0.0000 0.0007
-0.0007 6.9225 0.0039
-0.0016 -0.0046 10.1502
Ac Si Ge
6 2 2
Direct
0.2500 0.7455 0.5524
0.2498 0.2503 0.7500
0.2500 0.7454 0.9475
0.7500 0.2545 0.4476
0.7500 0.2546 0.0525
0.7502 0.7497 0.2500
0.7499 0.5606 0.7500
0.2501 0.4394 0.2500
0.2500 0.0653 0.2500
0.7500 0.9347 0.7500
```

Uncorrected formation energy (eV per formula unit): -2.6
Energy above the most stable polymorph in this dataset (meV per atom): 0.0
D(E_F) (states/eV per cell): 8.40
Total magnetization (μB per formula unit): 0.00

---

Record 2
Material: Ac4SiGe4
Method: DFT, PBE-GGA
State: relaxed

The structure in POSCAR format:
```
Ac4SiGe4
1.0
-4.9031 -3.9634 -1.9181
1.8054 -5.6471 7.0535
-5.8858 4.7225 5.2874
Ac Si Ge
8 2 8
Direct
0.2991 0.2640 0.9999
0.7991 0.5001 0.7640
0.2991 0.7360 0.0001
0.2009 0.2360 0.5001
0.7009 0.9999 0.7360
0.2009 0.7640 0.4999
0.7991 0.4999 0.2360
0.7009 0.0001 0.2640
0.0000 0.0000 0.0000
0.5000 0.5000 0.5000
0.7090 0.7326 0.4999
0.7090 0.2674 0.5001
0.2090 0.9999 0.7674
0.7910 0.2326 0.9999
0.7910 0.7674 0.0001
0.2910 0.4999 0.2674
0.2910 0.5001 0.7326
0.2090 0.0001 0.2326
```

Uncorrected formation energy (eV per formula unit): -5.7
Energy above the most stable polymorph in this dataset (meV per atom): 0.0
D(E_F) (states/eV per cell): 7.03
Total magnetization (μB per formula unit): 0.00

---

Record 3
Material: Ac3SiGe
Method: DFT, PBE-GGA
State: relaxed

The structure in POSCAR format:
```
Ac3SiGe
1.0
4.6495 -0.0013 0.0000
0.0014 7.5526 0.0000
0.0000 0.0000 9.9614
Ac Si Ge
6 2 2
Direct
0.7500 0.7500 0.0648
0.2500 0.2500 0.9352
0.7500 0.9779 0.6650
0.7500 0.5221 0.6650
0.2500 0.0221 0.3350
0.2500 0.4779 0.3350
0.7500 0.7500 0.3893
0.2500 0.2500 0.6107
0.7500 0.2500 0.1499
0.2500 0.7500 0.8501
```

Uncorrected formation energy (eV per formula unit): -2.5
Energy above the most stable polymorph in this dataset (meV per atom): 18.3
D(E_F) (states/eV per cell): 8.16
Total magnetization (μB per formula unit): 0.00

---

Record 4
Material: Ac4SiGe
Method: DFT, PBE-GGA
State: relaxed

The structure in POSCAR format:
```
Ac4SiGe
1.0
7.0935 0.0622 0.0000
-1.7497 8.1931 0.0000
-2.6719 -4.1277 7.2541
Ac Si Ge
8 2 2
Direct
0.0095 0.2460 0.8732
0.7870 0.6893 0.6318
0.3637 0.6272 0.8732
0.3448 0.9425 0.6318
0.6552 0.0575 0.3682
0.6363 0.3728 0.1268
0.2130 0.3107 0.3682
0.9905 0.7540 0.1268
0.3867 0.6367 0.2734
0.6133 0.3633 0.7266
0.2519 0.0019 0.0038
0.7481 0.9981 0.9962
```

Uncorrected formation energy (eV per formula unit): -2.4
D(E_F) (states/eV per cell): 12.90
Total magnetization (μB per formula unit): 0.00

---

Which value of total magnetization does entry 1 give?
0.00 μB per formula unit